## Ni5Hg3H12 (PBE-GGA)

Data for Ni5Hg3H12 after structural relaxation.

Computed properties:
M_tot, μB/f.u.: 0.00
Calculated total energy, eV/atom: -3.21
Calculated volume, A^3/atom: 8.8

abc: 11.216 11.216 11.216
angles: 90.00 90.00 90.00
Space group Ia-3d (No. 230)
Unique sites:
1 Ni 0.000 0.000 0.000 x16
2 Ni 0.000 0.250 0.375 x24
3 Hg 0.000 0.250 0.125 x24
4 H 0.033 0.135 0.953 x96